# Np4Se3N2, optimized geometry, DFT GGA-PBE
# energy: -9.941 eV per atom
# magnetization: 31.6 Bohr magnetons per cell
# crystal system: monoclinic
# volume: 390.8 Å³ per cell
data_Np4Se3N2
_cell_length_a 13.181
_cell_length_b 3.888
_cell_length_c 9.637
_cell_angle_alpha 90.00
_cell_angle_beta 127.69
_cell_angle_gamma 90.00
_symmetry_space_group_name_H-M 'C 1 2/m 1'
_symmetry_Int_Tables_number 12
_symmetry_space_group_name_Hall '-C 2y'
loop_
_atom_site_label
_atom_site_fract_x
_atom_site_fract_y
_atom_site_fract_z
Np1 0.109 0.000 0.370
Np2 0.200 0.500 0.132
Se1 0.000 0.000 0.000
Se2 0.102 0.500 0.750
N1 0.204 0.500 0.362